# Mg2PbN

Crystalline Mg2PbN at its relaxed geometry (PBE-GGA, Alexandria).

total moment = 0.000 μB per formula unit
E above lowest polymorph = 184 meV/atom
calculated total energy = -4.06 eV/atom
uncorrected formation energy = -0.256 eV per atom

POSCAR file:
```
Mg2PbN
1.0
-3.435 -4.447 2.815
2.190 -4.264 -4.064
2.746 -5.228 2.107
Pb Mg N
2 4 2
Direct
0.000 0.000 0.000
0.750 0.250 0.500
0.450 0.125 0.250
0.300 0.625 0.250
0.375 0.550 0.750
0.875 0.700 0.750
0.500 0.500 0.000
0.250 0.750 0.500
```

# PaTc2N

Crystalline PaTc2N at its relaxed geometry (PBE-GGA, Alexandria).

total moment = 0.000 μB per formula unit
calculated total energy = -8.91 eV/atom
uncorrected formation energy = 0.726 eV per atom

POSCAR file:
```
PaTc2N
1.0
3.617 0.000 0.000
0.000 3.617 0.000
0.000 0.000 4.909
Pa Tc N
1 2 1
Direct
0.500 0.500 0.500
0.000 0.000 0.763
0.000 0.000 0.237
0.500 0.500 0.000
```

# Nd2Er3PuAs6

Crystalline Nd2Er3PuAs6 at its relaxed geometry (PBE-GGA, Alexandria).

total moment = 4.868 μB per formula unit
calculated total energy = -6.87 eV/atom

POSCAR file:
```
Nd2Er3PuAs6
1.0
4.161 0.000 0.000
0.000 8.299 0.306
-2.080 -2.383 8.725
Nd Er Pu As
2 3 1 6
Direct
0.833 0.666 0.667
0.167 0.334 0.333
0.500 0.500 0.000
0.832 0.166 0.665
0.168 0.834 0.335
0.500 0.000 0.000
0.333 0.925 0.667
0.664 0.591 0.328
0.667 0.075 0.333
0.997 0.248 0.994
0.003 0.752 0.006
0.336 0.409 0.672
```

# TmZrGaOs

Crystalline TmZrGaOs at its relaxed geometry (PBE-GGA, Alexandria).

total moment = 0.000 μB per formula unit
calculated total energy = -7.22 eV/atom

POSCAR file:
```
TmZrGaOs
1.0
4.781 0.000 0.000
2.390 4.140 0.000
2.390 1.380 3.904
Tm Os Ga Zr
1 1 1 1
Direct
0.000 0.000 0.000
0.750 0.750 0.750
0.250 0.250 0.250
0.500 0.500 0.500
```

# Tc2RhBr

Crystalline Tc2RhBr at its relaxed geometry (PBE-GGA, Alexandria).

total moment = 0.000 μB per formula unit
E above lowest polymorph = 175 meV/atom
calculated total energy = -6.84 eV/atom
uncorrected formation energy = 0.594 eV per atom

POSCAR file:
```
Tc2RhBr
1.0
0.491 1.908 4.265
1.059 -0.916 4.485
6.780 1.558 2.501
Rh Tc Br
1 2 1
Direct
0.250 0.250 0.250
0.029 0.029 0.096
0.471 0.471 0.404
0.750 0.750 0.750
```

# AlRuCl

Crystalline AlRuCl at its relaxed geometry (PBE-GGA, Alexandria).

total moment = 0.000 μB per formula unit
E above lowest polymorph = 230 meV/atom
calculated total energy = -4.92 eV/atom
uncorrected formation energy = 0.037 eV per atom

POSCAR file:
```
AlRuCl
1.0
-3.145 4.068 2.953
-5.196 0.323 2.838
5.128 -2.776 -1.077
Ru Al Cl
1 1 1
Direct
0.651 0.651 0.000
0.031 0.031 0.000
0.318 0.318 0.000
```

Please write out number 2 again, unchanged.
# PaTc2N

Crystalline PaTc2N at its relaxed geometry (PBE-GGA, Alexandria).

total moment = 0.000 μB per formula unit
calculated total energy = -8.91 eV/atom
uncorrected formation energy = 0.726 eV per atom

POSCAR file:
```
PaTc2N
1.0
3.617 0.000 0.000
0.000 3.617 0.000
0.000 0.000 4.909
Pa Tc N
1 2 1
Direct
0.500 0.500 0.500
0.000 0.000 0.763
0.000 0.000 0.237
0.500 0.500 0.000
```